Entry from Alexandria: a relaxed Na2CoBiW crystal (PBE-GGA).

Results
**Total magnetic moment**: 1.008 μB/atom
**Uncorrected energy**: -19.31 eV for the cell shown
**Calculated formation energy**: 7.264 eV per formula unit

Geometry as POSCAR:
```
Na2CoBiW
1.0
5.091 0.000 0.000
0.000 5.091 0.000
0.000 0.000 4.900
Na Co Bi W
2 1 1 1
Direct
0.000 0.500 0.000
0.500 0.000 0.000
0.000 0.000 0.000
0.000 0.000 0.500
0.500 0.500 0.500
```


Entry from Alexandria: a relaxed Sc2TlB crystal (PBE-GGA).

Results
**Distance to the lowest polymorph of the same formula**: 178 meV/atom
**Total magnetic moment**: 0.000 μB/atom
**Uncorrected energy**: -85.01 eV for the cell shown
**Calculated formation energy**: 0.455 eV per formula unit

Geometry as POSCAR:
```
Sc2TlB
1.0
7.172 0.000 0.000
0.000 7.172 0.000
0.000 0.000 6.398
Sc Tl B
8 4 4
Direct
0.175 0.250 0.125
0.250 0.675 0.375
0.250 0.825 0.875
0.325 0.250 0.625
0.675 0.750 0.625
0.750 0.175 0.875
0.750 0.325 0.375
0.825 0.750 0.125
0.000 0.000 0.500
0.000 0.500 0.750
0.500 0.000 0.250
0.500 0.500 0.000
0.000 0.000 0.000
0.000 0.500 0.250
0.500 0.000 0.750
0.500 0.500 0.500
```


Entry from Alexandria: a relaxed La3HoEr6Th2 crystal (PBE-GGA).

Results
**Total magnetic moment**: 0.000 μB/atom
**Uncorrected energy**: -61.35 eV for the cell shown
**Calculated formation energy**: 0.224 eV per formula unit

Geometry as POSCAR:
```
La3HoEr6Th2
1.0
3.102 -5.371 0.000
3.102 5.371 0.000
-2.075 0.000 11.595
La Ho Er Th
3 1 6 2
Direct
0.000 0.000 0.000
0.335 0.665 0.000
0.665 0.335 0.000
0.500 0.500 0.500
0.082 0.419 0.256
0.244 0.244 0.744
0.419 0.082 0.256
0.581 0.918 0.744
0.756 0.756 0.256
0.918 0.581 0.744
0.167 0.833 0.500
0.833 0.167 0.500
```


Entry from Alexandria: a relaxed PmThUN3 crystal (PBE-GGA).

Results
**Formation energy from raw total energies**: -1.14 eV/atom
**Total magnetic moment**: 0.426 μB/atom
**Uncorrected energy**: -110.49 eV for the cell shown

Geometry as POSCAR:
```
PmThUN3
1.0
7.300 0.000 0.000
0.000 3.496 0.000
-1.061 0.000 8.489
Pm Th U N
2 2 2 6
Direct
0.107 0.250 0.347
0.893 0.750 0.653
0.409 0.750 0.662
0.591 0.250 0.338
0.187 0.250 0.941
0.813 0.750 0.059
0.113 0.750 0.092
0.156 0.250 0.658
0.369 0.750 0.398
0.631 0.250 0.602
0.844 0.750 0.342
0.887 0.250 0.908
```